The following is a PBE-GGA calculation of a relaxed structure of MgZr4Hg5, from Alexandria. Values from VASP.

```
&SYSTEM
  ibrav = 0, nat = 10, ntyp = 3
/
ATOMIC_SPECIES
Mg 24.30 Mg.upf
Zr 91.22 Zr.upf
Hg 200.59 Hg.upf
CELL_PARAMETERS angstrom
3.242 0.000 0.000
0.000 3.242 0.000
0.000 0.000 20.347
ATOMIC_POSITIONS crystal
Mg 0.000 0.000 0.000
Zr 0.000 0.000 0.195
Zr 0.000 0.000 0.398
Zr 0.000 0.000 0.602
Zr 0.000 0.000 0.805
Hg 0.500 0.500 0.093
Hg 0.500 0.500 0.296
Hg 0.500 0.500 0.500
Hg 0.500 0.500 0.704
Hg 0.500 0.500 0.907
```

For the formation enthalpy at 0 K, the calculation gives -0.181 eV per atom. The symmetry is P4/mmm, No. 123. As for the crystal system: tetragonal.